Entry 1:
Y2Er4Sc5: optimized geometry, GGA-PBE.

## Properties
Formation energy (eV per atom): 0.14
E above lowest polymorph (kcal/mol of atoms): 2.017

Lattice parameters (Å, degrees): 3.349 8.389 13.798 124.34 96.97 90.00
Fractional coordinates of all 11 atoms:
Er (0.413, 0.521, 0.826)
Sc (0.187, 0.896, 0.374)
Sc (0.813, 0.104, 0.626)
Sc (0.500, 0.000, 0.000)
Y (0.272, 0.365, 0.544)
Y (0.728, 0.635, 0.456)
Sc (0.872, 0.779, 0.744)
Sc (0.128, 0.221, 0.256)
Er (0.955, 0.248, 0.910)
Er (0.587, 0.479, 0.174)
Er (0.045, 0.752, 0.090)

Entry 2:
Y4Er7Sc: optimized geometry, GGA-PBE.

## Properties
Formation energy (eV per atom): 0.39

Lattice parameters (Å, degrees): 7.169 7.169 11.454 68.56 68.56 45.77
Last column: magnetic moment on the atom in μB.
Fractional coordinates of all 12 atoms:
Er (0.201, 0.201, 0.017)  0.01
Er (0.071, 0.071, 0.685)  0.01
Er (0.929, 0.929, 0.315)  0.01
Er (0.500, 0.500, 0.000)  0.19
Y (0.736, 0.736, 0.730)  0.01
Er (0.347, 0.347, 0.511)  0.00
Y (0.421, 0.421, 0.769)  0.01
Er (0.653, 0.653, 0.489)  0.00
Y (0.264, 0.264, 0.270)  0.01
Er (0.799, 0.799, 0.983)  0.01
Y (0.579, 0.579, 0.231)  0.01
Sc (0.000, 0.000, 0.000)  0.19

Entry 3:
YErSc4: optimized geometry, GGA-PBE.

## Properties
Formation energy (eV per atom): 0.21
E above lowest polymorph (kcal/mol of atoms): 3.411

Lattice parameters (Å, degrees): 6.246 6.246 6.246 60.00 60.00 60.00
Last column: magnetic moment on the atom in μB.
Fractional coordinates of all 6 atoms:
Er (0.000, 0.000, 0.000)  0.65
Sc (0.625, 0.125, 0.625)  0.49
Y (0.250, 0.250, 0.250)  0.48
Sc (0.125, 0.625, 0.625)  0.49
Sc (0.625, 0.625, 0.125)  0.49
Sc (0.625, 0.625, 0.625)  0.49

Entry 4:
Y4Er5Sc4: optimized geometry, GGA-PBE.

## Properties
Formation energy (eV per atom): 0.05

Lattice parameters (Å, degrees): 4.888 9.131 9.131 85.89 74.47 74.47
Fractional coordinates of all 13 atoms:
Sc (0.769, 0.386, 0.077)
Y (0.920, 0.460, 0.699)
Sc (0.231, 0.614, 0.923)
Sc (0.845, 0.923, 0.386)
Er (0.691, 0.852, 0.767)
Er (0.457, 0.233, 0.852)
Y (0.380, 0.699, 0.540)
Er (0.000, 0.000, 0.000)
Er (0.543, 0.767, 0.148)
Er (0.309, 0.148, 0.233)
Sc (0.155, 0.077, 0.614)
Y (0.080, 0.540, 0.301)
Y (0.620, 0.301, 0.460)

Entry 5:
YEr2Sc5: optimized geometry, GGA-PBE.

## Properties
Formation energy (eV per atom): 0.06
E above lowest polymorph (kcal/mol of atoms): 0.990

Lattice parameters (Å, degrees): 6.700 6.700 6.700 91.20 119.31 119.31
Fractional coordinates of all 8 atoms:
Sc (0.500, 0.278, 0.278)
Y (0.000, 0.778, 0.778)
Sc (0.000, 0.778, 0.278)
Sc (0.500, 0.778, 0.778)
Er (0.500, 0.278, 0.778)
Sc (0.000, 0.277, 0.277)
Er (0.500, 0.778, 0.278)
Sc (0.000, 0.278, 0.778)

Entry 6:
Y2Er3Sc2: optimized geometry, GGA-PBE.

## Properties
Formation energy (eV per atom): 0.23
E above lowest polymorph (kcal/mol of atoms): 0.000

Lattice parameters (Å, degrees): 6.398 10.453 6.253 90.00 87.29 90.00
Fractional coordinates of all 14 atoms:
Er (0.470, 0.942, 0.256)
Er (0.500, 0.500, 0.000)
Sc (0.532, 0.355, 0.555)
Y (0.252, 0.260, 0.142)
Sc (0.968, 0.855, 0.445)
Y (0.748, 0.740, 0.858)
Er (0.030, 0.442, 0.744)
Er (0.970, 0.558, 0.256)
Y (0.752, 0.240, 0.142)
Sc (0.468, 0.645, 0.445)
Er (0.000, 0.000, 0.000)
Er (0.530, 0.058, 0.744)
Sc (0.032, 0.145, 0.555)
Y (0.248, 0.760, 0.858)

Entry 7:
Y12Er7Sc: optimized geometry, GGA-PBE.

## Properties
Formation energy (eV per atom): 0.17
E above lowest polymorph (kcal/mol of atoms): 0.000

Lattice parameters (Å, degrees): 9.229 9.229 9.229 107.84 107.84 107.84
Fractional coordinates of all 20 atoms:
Y (0.598, 0.937, 0.701)
Y (0.209, 0.679, 0.390)
Er (0.500, 0.500, 0.500)
Y (0.390, 0.209, 0.679)
Er (0.999, 0.900, 0.312)
Y (0.063, 0.299, 0.402)
Er (0.100, 0.688, 0.001)
Y (0.701, 0.598, 0.937)
Er (0.312, 0.999, 0.900)
Y (0.299, 0.402, 0.063)
Y (0.679, 0.390, 0.209)
Sc (0.000, 0.000, 0.000)
Y (0.321, 0.610, 0.791)
Er (0.900, 0.312, 0.999)
Y (0.402, 0.063, 0.299)
Er (0.001, 0.100, 0.688)
Y (0.791, 0.321, 0.610)
Y (0.937, 0.701, 0.598)
Y (0.610, 0.791, 0.321)
Er (0.688, 0.001, 0.100)

Entry 8:
Y2Er5Sc5: optimized geometry, GGA-PBE.

## Properties
Formation energy (eV per atom): 0.08

Lattice parameters (Å, degrees): 5.410 8.805 8.460 65.71 71.35 72.11
Fractional coordinates of all 12 atoms:
Sc (0.349, 0.273, 0.029)
Er (0.181, 0.138, 0.500)
Sc (0.651, 0.727, 0.971)
Er (0.736, 0.298, 0.231)
Sc (0.571, 0.126, 0.733)
Y (0.907, 0.426, 0.760)
Sc (0.429, 0.874, 0.267)
Er (0.264, 0.702, 0.769)
Er (0.819, 0.862, 0.500)
Sc (0.500, 0.500, 0.500)
Er (0.000, 0.000, 0.000)
Y (0.093, 0.574, 0.240)

We obtain D(E_F) values of 19.50, 17.86, 13.75, 21.13, 16.09, 11.23, 42.02, 24.59 states/eV/f.u. for the records listed above, in that order.